1.
## InCu3Se (PBEsol)

Data for an optimized crystal structure of InCu3Se.

Its calculated volume is 21.060 Å³/atom. The value obtained for the total energy is -2.925 eV/atom. The value obtained for the formation energy from raw total energies is 503 kJ/mol of formula units.

Cell and atoms, written as CIF:
```
data_InCu3Se
_chemical_formula_sum 'In1 Cu3 Se1'
_cell_length_a 4.722
_cell_length_b 4.722
_cell_length_c 4.722
_cell_angle_alpha 90.00
_cell_angle_beta 90.00
_cell_angle_gamma 90.00
_symmetry_space_group_name_H-M 'P m -3 m'
_symmetry_Int_Tables_number 221
_symmetry_space_group_name_Hall '-P 4 2 3'
loop_
_atom_site_label
_atom_site_fract_x
_atom_site_fract_y
_atom_site_fract_z
In1 0.000 0.000 0.000
Cu1 0.000 0.000 0.500
Se1 0.500 0.500 0.500
```


2.
## Ca2TeBr (PBEsol)

Data for an optimized crystal structure of Ca2TeBr.

Its calculated volume is 29.772 Å³/atom. The value obtained for the total energy is -3.759 eV/atom. The value obtained for the formation energy from raw total energies is -518 kJ/mol of formula units.

Cell and atoms, written as CIF:
```
data_Ca2TeBr
_chemical_formula_sum 'Ca2 Te1 Br1'
_cell_length_a 3.937
_cell_length_b 3.978
_cell_length_c 7.626
_cell_angle_alpha 90.00
_cell_angle_beta 94.29
_cell_angle_gamma 90.00
_symmetry_space_group_name_H-M 'P 1 2/m 1'
_symmetry_Int_Tables_number 10
_symmetry_space_group_name_Hall '-P 2y'
loop_
_atom_site_label
_atom_site_fract_x
_atom_site_fract_y
_atom_site_fract_z
Ca1 0.037 0.000 0.226
Te1 0.500 0.500 0.000
Br1 0.000 0.500 0.500
```


3.
## LiMnZn (PBEsol)

Data for an optimized crystal structure of LiMnZn.

Its calculated volume is 12.093 Å³/atom. The value obtained for the total energy is -4.188 eV/atom. The calculation puts the distance to the lowest polymorph of the same formula at 1 meV/atom. The energy relative to the elements is 248 meV per atom.

Cell and atoms, written as CIF:
```
data_LiMnZn
_chemical_formula_sum 'Li2 Mn2 Zn2'
_cell_length_a 2.402
_cell_length_b 2.402
_cell_length_c 12.578
_cell_angle_alpha 90.00
_cell_angle_beta 90.00
_cell_angle_gamma 90.00
_symmetry_space_group_name_H-M 'I 4 m m'
_symmetry_Int_Tables_number 107
_symmetry_space_group_name_Hall 'I 4 -2'
loop_
_atom_site_label
_atom_site_fract_x
_atom_site_fract_y
_atom_site_fract_z
Li1 0.000 0.000 0.000
Mn1 0.000 0.000 0.333
Zn1 0.000 0.000 0.674
```


4.
## ZrCo3Ag (PBEsol)

Data for an optimized crystal structure of ZrCo3Ag.

Its calculated volume is 17.800 Å³/atom. The value obtained for the total energy is -5.680 eV/atom. The energy relative to the elements is 1443 meV per atom.

Cell and atoms, written as CIF:
```
data_ZrCo3Ag
_chemical_formula_sum 'Zr1 Co3 Ag1'
_cell_length_a 4.465
_cell_length_b 4.465
_cell_length_c 4.465
_cell_angle_alpha 90.00
_cell_angle_beta 90.00
_cell_angle_gamma 90.00
_symmetry_space_group_name_H-M 'P m -3 m'
_symmetry_Int_Tables_number 221
_symmetry_space_group_name_Hall '-P 4 2 3'
loop_
_atom_site_label
_atom_site_fract_x
_atom_site_fract_y
_atom_site_fract_z
Zr1 0.000 0.000 0.000
Co1 0.000 0.500 0.500
Ag1 0.500 0.500 0.500
```


5.
## Mg2ZrAl (PBEsol)

Data for an optimized crystal structure of Mg2ZrAl.

Its calculated volume is 19.627 Å³/atom. The value obtained for the total energy is -4.347 eV/atom. The energy relative to the elements is -193 meV per atom.

Cell and atoms, written as CIF:
```
data_Mg2ZrAl
_chemical_formula_sum 'Mg2 Zr1 Al1'
_cell_length_a 4.175
_cell_length_b 4.175
_cell_length_c 4.504
_cell_angle_alpha 90.00
_cell_angle_beta 90.00
_cell_angle_gamma 90.00
_symmetry_space_group_name_H-M 'P 4/m m m'
_symmetry_Int_Tables_number 123
_symmetry_space_group_name_Hall '-P 4 2'
loop_
_atom_site_label
_atom_site_fract_x
_atom_site_fract_y
_atom_site_fract_z
Mg1 0.000 0.500 0.000
Zr1 0.000 0.000 0.500
Al1 0.500 0.500 0.500
```


6.
## MgAg2 (PBEsol)

Data for an optimized crystal structure of MgAg2.

Its calculated volume is 17.209 Å³/atom. The value obtained for the total energy is -2.964 eV/atom. The calculation puts the distance to the lowest polymorph of the same formula at 5 meV/atom. The energy relative to the elements is -184 meV per atom.

Cell and atoms, written as CIF:
```
data_MgAg2
_chemical_formula_sum 'Mg4 Ag8'
_cell_length_a 8.584
_cell_length_b 5.030
_cell_length_c 5.832
_cell_angle_alpha 90.00
_cell_angle_beta 124.91
_cell_angle_gamma 90.00
_symmetry_space_group_name_H-M 'C 1 2/c 1'
_symmetry_Int_Tables_number 15
_symmetry_space_group_name_Hall '-C 2yc'
loop_
_atom_site_label
_atom_site_fract_x
_atom_site_fract_y
_atom_site_fract_z
Mg1 0.000 0.105 0.250
Ag1 0.168 0.405 0.755
```


7.
## Fe3IF (PBEsol)

Data for an optimized crystal structure of Fe3IF.

Its calculated volume is 20.790 Å³/atom. The value obtained for the total energy is -4.766 eV/atom. The value obtained for the formation energy from raw total energies is 652 kJ/mol of formula units.

Cell and atoms, written as CIF:
```
data_Fe3IF
_chemical_formula_sum 'Fe3 I1 F1'
_cell_length_a 4.702
_cell_length_b 4.702
_cell_length_c 4.702
_cell_angle_alpha 90.00
_cell_angle_beta 90.00
_cell_angle_gamma 90.00
_symmetry_space_group_name_H-M 'P m -3 m'
_symmetry_Int_Tables_number 221
_symmetry_space_group_name_Hall '-P 4 2 3'
loop_
_atom_site_label
_atom_site_fract_x
_atom_site_fract_y
_atom_site_fract_z
Fe1 0.000 0.000 0.500
I1 0.000 0.000 0.000
F1 0.500 0.500 0.500
```


8.
## Y4TcRh (PBEsol)

Data for an optimized crystal structure of Y4TcRh.

Its calculated volume is 22.481 Å³/atom. The value obtained for the total energy is -6.843 eV/atom. The energy relative to the elements is 939 meV per atom.

Cell and atoms, written as CIF:
```
data_Y4TcRh
_chemical_formula_sum 'Y16 Tc4 Rh4'
_cell_length_a 8.141
_cell_length_b 8.141
_cell_length_c 8.141
_cell_angle_alpha 90.00
_cell_angle_beta 90.00
_cell_angle_gamma 90.00
_symmetry_space_group_name_H-M 'F -4 3 m'
_symmetry_Int_Tables_number 216
_symmetry_space_group_name_Hall 'F -4 2 3'
loop_
_atom_site_label
_atom_site_fract_x
_atom_site_fract_y
_atom_site_fract_z
Y1 0.125 0.125 0.125
Tc1 0.000 0.000 0.500
Rh1 0.250 0.250 0.750
```


> Which value of calculated volume does entry 8 give?

22.481 Å³/atom